1.
## LiTlAg2 (PBE-GGA)

Data for crystalline LiTlAg2 at its relaxed geometry.

a b c (Å): 3.354 3.839 5.989
angles (deg): 90.00 90.00 90.00
Space group Pmm2 (No. 25)
Unique sites:
Li  0.000  0.000  0.000
Tl  0.500  0.500  0.264
Ag  0.000  0.000  0.539
Ag  0.500  0.500  0.772

Computed properties:
Calculated volume   77.1 Å³/cell


2.
## Li2TlAg (PBE-GGA)

Data for crystalline Li2TlAg at its relaxed geometry.

a b c (Å): 3.305 3.836 6.050
angles (deg): 90.00 90.00 90.00
Space group Pmm2 (No. 25)
Unique sites:
Li  0.000  0.000  0.000
Li  0.500  0.500  0.265
Tl  0.000  0.000  0.506
Ag  0.500  0.500  0.798

Computed properties:
Calculated volume   76.7 Å³/cell


3.
## Li4TlAg4 (PBE-GGA)

Data for crystalline Li4TlAg4 at its relaxed geometry.

a b c (Å): 8.617 8.617 4.381
angles (deg): 90.00 90.00 90.00
Space group I4/mmm (No. 139)
Unique sites:
Li  0.000  0.325  0.000
Tl  0.000  0.000  0.000
Ag  0.175  0.175  0.500

Computed properties:
Calculated volume   325.3 Å³/cell
Relative energy among the computed polymorphs   0.000 eV/atom


4.
## Li2TlAg4 (PBE-GGA)

Data for crystalline Li2TlAg4 at its relaxed geometry.

a b c (Å): 7.760 7.760 4.567
angles (deg): 90.00 90.00 90.00
Space group P4_2/mnm (No. 136)
Unique sites:
Li  0.202  0.202  0.000
Tl  0.000  0.000  0.500
Ag  0.122  0.374  0.500

Computed properties:
Calculated volume   275.0 Å³/cell
Relative energy among the computed polymorphs   0.000 eV/atom


5.
## LiTlAg2 (PBE-GGA)

Data for crystalline LiTlAg2 at its relaxed geometry.

a b c (Å): 6.739 6.739 6.739
angles (deg): 90.00 90.00 90.00
Space group F-43m (No. 216)
Unique sites:
Li  0.000  0.000  0.000
Tl  0.250  0.250  0.250
Ag  0.000  0.000  0.500
Ag  0.250  0.250  0.750

Computed properties:
Calculated volume   306.1 Å³/cell


6.
## Li2TlAg (PBE-GGA)

Data for crystalline Li2TlAg at its relaxed geometry.

a b c (Å): 3.3008 3.3008 25.3120
angles (deg): 90.00 90.00 120.00
Space group R3m (No. 160, hexagonal axes)
Unique sites:
Li  0.0000  0.0000  0.0000
Li  0.0000  0.0000  0.1778
Tl  0.0000  0.0000  0.4227
Ag  0.0000  0.0000  0.5885

Computed properties:
Calculated volume   238.8 Å³/cell


7.
## Li5Tl4Ag3 (PBE-GGA)

Data for crystalline Li5Tl4Ag3 at its relaxed geometry.

a b c (Å): 14.941 4.823 7.551
angles (deg): 90.00 114.47 90.00
Space group C2/m (No. 12)
Unique sites:
Li  0.000  0.000  0.000
Li  0.040  0.500  0.699
Li  0.184  0.500  0.259
Tl  0.099  0.000  0.428
Tl  0.164  0.000  0.922
Ag  0.000  0.500  0.000
Ag  0.208  0.500  0.646

Computed properties:
Calculated volume   495.3 Å³/cell


8.
## Li3TlAg (PBE-GGA)

Data for crystalline Li3TlAg at its relaxed geometry.

a b c (Å): 4.948 5.151 7.522
angles (deg): 90.00 104.21 90.00
Space group P2_1/m (No. 11)
Unique sites:
Li  0.000  0.000  0.000
Li  0.307  0.250  0.466
Li  0.468  0.250  0.867
Tl  0.284  0.750  0.741
Ag  0.102  0.750  0.334

Computed properties:
Calculated volume   185.9 Å³/cell
Relative energy among the computed polymorphs   0.000 eV/atom


9.
## Li2TlAg3 (PBE-GGA)

Data for crystalline Li2TlAg3 at its relaxed geometry.

a b c (Å): 14.077 4.688 8.002
angles (deg): 90.00 123.62 90.00
Space group C2/m (No. 12)
Unique sites:
Li  0.029  0.000  0.204
Li  0.207  0.500  0.567
Tl  0.136  0.500  0.160
Ag  0.040  0.500  0.707
Ag  0.117  0.000  0.604
Ag  0.203  0.000  0.030

Computed properties:
Calculated volume   439.7 Å³/cell


10.
## LiTlAg (PBE-GGA)

Data for crystalline LiTlAg at its relaxed geometry.

a b c (Å): 3.2707 3.2707 6.8609
angles (deg): 90.00 90.00 120.00
Space group P3m1 (No. 156)
Unique sites:
Li  0.0000  0.0000  0.0000
Tl  0.6667  0.3333  0.3405
Ag  0.3333  0.6667  0.7014

Computed properties:
Calculated volume   63.6 Å³/cell
Relative energy among the computed polymorphs   0.142 eV/atom


11.
## Li6Tl2Ag (PBE-GGA)

Data for crystalline Li6Tl2Ag at its relaxed geometry.

a b c (Å): 7.8594 7.8594 3.2773
angles (deg): 90.00 90.00 120.00
Space group P-62m (No. 189)
Unique sites:
Li  0.0000  0.2760  0.0000
Li  0.0000  0.6221  0.5000
Tl  0.3333  0.6667  0.0000
Ag  0.0000  0.0000  0.5000

Computed properties:
Calculated volume   175.3 Å³/cell
Relative energy among the computed polymorphs   0.000 eV/atom


12.
## Li7TlAg2 (PBE-GGA)

Data for crystalline Li7TlAg2 at its relaxed geometry.

a b c (Å): 7.545 13.039 4.688
angles (deg): 90.00 90.00 90.00
Space group Cmmm (No. 65)
Unique sites:
Li  0.000  0.000  0.000
Li  0.000  0.274  0.500
Li  0.176  0.385  0.000
Tl  0.000  0.500  0.500
Ag  0.000  0.199  0.000

Computed properties:
Calculated volume   461.2 Å³/cell
Relative energy among the computed polymorphs   0.156 eV/atom


| no. | formation energy (eV per atom) |
| --- | --- |
| 1 | -0.0835 |
| 2 | -0.1415 |
| 3 | -0.1231 |
| 4 | -0.0579 |
| 5 | -0.0806 |
| 6 | -0.0902 |
| 7 | -0.0936 |
| 8 | -0.1573 |
| 9 | -0.1118 |
| 10 | -0.0063 |
| 11 | -0.1804 |
| 12 | 0.0399 |